1.
Density functional theory data (PBE-GGA) for a relaxed structure of Y2BMoRh.

Cell and atoms, written as extended XYZ:
```
5
Lattice="-2.837 1.149 -3.903 -0.488 -3.993 -0.821 -4.026 -0.103 2.896" Properties=species:S:1:pos:R:3 pbc="T T T"
Y -1.419 0.575 -1.952
Y -2.013 -0.051 1.448
B 0.000 0.000 0.000
Mo -0.244 -1.996 -0.410
Rh -3.676 -1.473 -0.914
```

Calculated values
Raw total energy in eV/cell: -37.683
Size of the total moment in μB per formula unit: 1.3

2.
Density functional theory data (PBE-GGA) for a relaxed structure of B2MoRu.

Cell and atoms, written as extended XYZ:
```
4
Lattice="3.260 0.000 0.000 1.630 2.823 0.000 1.630 0.941 4.703" Properties=species:S:1:pos:R:3 pbc="T T T"
Mo 0.000 0.000 0.000
B 4.890 2.823 3.433
B 1.630 0.941 1.270
Ru 3.260 1.882 2.351
```

Calculated values
Raw total energy in eV/cell: -33.708
Energy relative to the lowest polymorph listed for this composition in eV/f.u.: 0.97
Size of the total moment in μB per formula unit: 0.0

3.
Density functional theory data (PBE-GGA) for a relaxed structure of B4MoRu2.

Cell and atoms, written as extended XYZ:
```
7
Lattice="-2.803 -2.838 1.225 2.150 -1.709 0.963 -1.485 3.216 4.622" Properties=species:S:1:pos:R:3 pbc="T T T"
B -1.654 -1.967 2.403
B 0.018 -1.959 3.082
B -0.449 0.673 4.391
B -2.183 0.620 3.773
Mo -0.220 -0.918 1.062
Ru -1.897 -0.417 5.697
Ru -0.774 1.584 2.335
```

Calculated values
Raw total energy in eV/cell: -57.762
Size of the total moment in μB per formula unit: 0.0

Question: size of the total moment of number 3 (B4MoRu2)?
Answer: 0.0 μB per formula unit

Question: Which formula does entry 3 have?
Answer: B4MoRu2

Question: Which of these has the lowest raw total energy?
Answer: B4MoRu2

Question: raw total energy of number 2 (B2MoRu)?
Answer: -33.708 eV/cell